{
  "formula": "Nd6Co2AuI3",
  "functional": "PBE",
  "state": "optimized geometry",
  "lattice": [[4.162, 0.000, 0.000], [0.000, 9.456, -0.318], [-2.081, -3.417, 9.463]],
  "species": ["Au", "Co", "I", "I", "Nd", "Nd", "Nd", "Nd", "I", "Nd", "Co", "Nd"],
  "frac_coords": [[0.500, 0.000, 0.000], [0.170, 0.342, 0.339], [0.164, 0.837, 0.327], [0.500, 0.500, 0.000], [0.662, 0.141, 0.324], [0.684, 0.554, 0.369], [0.028, 0.242, 0.056], [0.338, 0.859, 0.676], [0.836, 0.163, 0.673], [0.972, 0.758, 0.944], [0.830, 0.658, 0.661], [0.316, 0.446, 0.631]],
  "formation_energy_uncorrected_ev_per_fu": -8.092,
  "rho_g_cm3": 7.0,
  "e_tot_ev_per_atom": -4.903,
  "dos_ef_per_ev_atom": 0.775
}